# 1
GGA+U Bi3WO, optimized geometry; M_tot = 3.3 μB/f.u.; electronic total energy = -22.18 eV per cell; ΔE to the lowest computed polymorph = 0 meV per atom
1.0
4.929 0.000 0.000
0.000 4.929 0.000
0.000 0.000 4.929
O Bi W
1 3 1
Direct
0.000 0.000 0.000 O
0.000 0.500 0.000 Bi
0.000 0.000 0.500 Bi
0.500 0.000 0.000 Bi
0.500 0.500 0.500 W

=====

# 2
GGA+U BiW2O7, optimized geometry; M_tot = 1.0 μB/f.u.; electronic total energy = -69.98 eV per cell
1.0
-0.092 -3.608 1.256
4.522 1.186 3.739
-5.439 0.945 2.315
Bi W O
1 2 7
Direct
0.000 0.000 0.000 Bi
0.500 0.691 0.309 W
0.500 0.309 0.691 W
0.000 0.702 0.298 O
0.000 0.298 0.702 O
0.500 0.043 0.321 O
0.500 0.957 0.679 O
0.500 0.321 0.043 O
0.500 0.679 0.957 O
0.500 0.500 0.500 O